[1]
Density functional theory data (PBE) for an optimized crystal structure of IrPb3Cl.

abc: 5.3925 5.3925 5.3925
angles: 90.00 90.00 90.00
With the nearest neighbours (Å) after each atom.
Sites, in units of the cell vectors:
Ir  0.0000  0.0000  0.0000  6 Pb 2.70
Pb  0.0000  0.0000  0.5000  2 Ir 2.70
Pb  0.0000  0.5000  0.0000  2 Ir 2.70
Pb  0.5000  0.0000  0.0000  2 Ir 2.70
Cl  0.5000  0.5000  0.5000  12 Pb 3.81

Output
E: -0.160 hartree per atom
N(E_F): 5.79 states/eV per cell
energy relative to the elements, uncorrected: 0.02 eV/atom
symmetry: Pm-3m
excess energy over the best structure of this formula in the dataset: 0.000 eV per atom
spin magnetization: 0.000 μB/f.u.

***

[2]
Density functional theory data (PBE) for an optimized crystal structure of IrPbCl.

abc: 6.6245 6.4744 3.2776
angles: 78.07 72.98 28.95
With the nearest neighbours (Å) after each atom.
Sites, in units of the cell vectors:
Ir  0.0000  0.0000  0.0000  2 Cl 2.72, 2 Pb 2.75
Pb  0.6457  0.6457  0.3543  2 Ir 2.75
Cl  0.3587  0.3587  0.6413  2 Ir 2.72

Output
E: -0.160 hartree per atom
N(E_F): 2.17 states/eV per cell
energy relative to the elements, uncorrected: 0.45 eV/atom
symmetry: Fmm2
excess energy over the best structure of this formula in the dataset: 0.137 eV per atom
spin magnetization: 0.000 μB/f.u.

***

[3]
Density functional theory data (PBE) for an optimized crystal structure of IrPb2Cl.

abc: 9.8121 9.8121 9.8121
angles: 19.99 19.99 19.99
With the nearest neighbours (Å) after each atom.
Sites, in units of the cell vectors:
Ir  0.0000  0.0000  0.0000  3 Pb 2.76, 3 Cl 2.84
Pb  0.2663  0.2663  0.2663  3 Ir 2.76
Pb  0.4873  0.4873  0.4873  3 Cl 3.10, 6 Pb 3.41
Cl  0.7378  0.7378  0.7378  3 Ir 2.84, 3 Pb 3.10

Output
E: -0.156 hartree per atom
N(E_F): 2.97 states/eV per cell
energy relative to the elements, uncorrected: 0.28 eV/atom
symmetry: R3m
excess energy over the best structure of this formula in the dataset: 0.383 eV per atom
spin magnetization: 0.000 μB/f.u.

***

[4]
Density functional theory data (PBE) for an optimized crystal structure of IrPb2Cl.

abc: 5.0747 5.0747 5.0747
angles: 60.00 60.00 60.00
With the nearest neighbours (Å) after each atom.
Sites, in units of the cell vectors:
Ir  0.0000  0.0000  0.0000  4 Cl 3.11, 4 Pb 3.11
Pb  0.2500  0.2500  0.2500  4 Pb 3.11, 4 Ir 3.11
Pb  0.5000  0.5000  0.5000  4 Cl 3.11, 4 Pb 3.11
Cl  0.7500  0.7500  0.7500  4 Pb 3.11, 4 Ir 3.11

Output
E: -0.148 hartree per atom
N(E_F): 2.99 states/eV per cell
energy relative to the elements, uncorrected: 0.51 eV/atom
symmetry: F-43m
excess energy over the best structure of this formula in the dataset: 0.617 eV per atom
spin magnetization: 0.000 μB/f.u.